Compound: ZnMo2F
Source: Alexandria
Functional: GGA+U
Structure: relaxed

Total DFT energy (no corrections) ... -3.49 eV/atom

abc: 3.736 3.736 19.060
angles: 90.00 90.00 90.00
Space group I-42d (No. 122)
Symmetry-distinct sites (fractional):
1 Zn 0.000 0.000 0.000 (multiplicity 4)
2 Mo 0.236 0.250 0.125 (multiplicity 8)
3 F 0.000 0.000 0.500 (multiplicity 4)